No. 1
Material: Cs2SmZn3F12
Method: DFT, PBE
State: relaxed

Lattice parameters (Å, degrees): 7.770 7.770 7.770 58.05 58.05 58.05
Element x y z (fractional)
Cs 0.614 0.614 0.614
Cs 0.386 0.386 0.386
Sm 0.000 0.000 0.000
Zn 0.500 0.000 0.000
Zn 0.000 0.500 0.000
Zn 0.000 0.000 0.500
F 0.303 0.303 0.915
F 0.911 0.911 0.358
F 0.358 0.911 0.911
F 0.915 0.303 0.303
F 0.911 0.358 0.911
F 0.303 0.915 0.303
F 0.697 0.697 0.085
F 0.089 0.089 0.642
F 0.642 0.089 0.089
F 0.085 0.697 0.697
F 0.089 0.642 0.089
F 0.697 0.085 0.697

Results
E_form (uncorrected)	-2.7281	eV/atom
uncorrected energy	-4.545	eV per atom

=====

No. 2
Material: Cs2SnF
Method: DFT, PBE
State: relaxed

Lattice parameters (Å, degrees): 6.328 6.328 6.328 60.00 60.00 60.00
Each line ends with the local moment (μB).
Element x y z (fractional)
Cs 0.250 0.250 0.250  0.08
Cs 0.750 0.750 0.750  0.08
Sn 0.500 0.500 0.500  0.99
F 0.000 0.000 0.000  0.06

Results
E_form (uncorrected)	-0.7697	eV/atom
uncorrected energy	-2.665	eV per atom

=====

No. 3
Material: Cs2SnF4
Method: DFT, PBE
State: relaxed

Lattice parameters (Å, degrees): 7.957 6.231 9.708 90.00 127.57 90.00
Element x y z (fractional)
Cs 0.701 0.750 0.119
Cs 0.299 0.250 0.881
Cs 0.299 0.250 0.417
Cs 0.701 0.750 0.583
Sn 0.167 0.750 0.083
Sn 0.833 0.250 0.917
F 0.409 0.522 0.204
F 0.213 0.750 0.878
F 0.787 0.250 0.122
F 0.409 0.978 0.204
F 0.787 0.250 0.666
F 0.591 0.022 0.796
F 0.591 0.478 0.796
F 0.213 0.750 0.334

Results
E_form (uncorrected)	-2.5659	eV/atom
uncorrected energy	-4.451	eV per atom
polymorph energy (0 for the lowest one)	0.000	eV/atom

=====

No. 4
Material: Cs2Sn2F5
Method: DFT, PBE
State: relaxed

Lattice parameters (Å, degrees): 4.257 8.202 7.410 111.41 90.00 105.04
Element x y z (fractional)
Cs 0.392 0.784 0.699
Cs 0.608 0.216 0.301
Sn 0.140 0.280 0.841
Sn 0.860 0.720 0.159
F 0.411 0.822 0.265
F 0.589 0.178 0.735
F 0.188 0.377 0.612
F 0.812 0.623 0.388
F 0.000 0.000 0.000

Results
E_form (uncorrected)	-2.2184	eV/atom
uncorrected energy	-4.337	eV per atom

=====

No. 5
Material: Cs2SnF3
Method: DFT, PBE
State: relaxed

Lattice parameters (Å, degrees): 4.119 4.852 8.429 106.73 104.14 90.00
Element x y z (fractional)
Cs 0.651 0.651 0.302
Cs 0.349 0.349 0.698
Sn 0.000 0.000 0.000
F 0.000 0.500 0.000
F 0.845 0.845 0.689
F 0.155 0.155 0.311

Results
E_form (uncorrected)	-2.2378	eV/atom
uncorrected energy	-4.125	eV per atom

=====

No. 6
Material: CsSn2F5
Method: DFT, PBE
State: relaxed

Lattice parameters (Å, degrees): 4.655 4.655 8.175 106.54 106.54 90.00
Element x y z (fractional)
Cs 0.500 0.500 0.000
Sn 0.153 0.153 0.307
Sn 0.847 0.847 0.693
F 0.130 0.630 0.261
F 0.630 0.130 0.261
F 0.370 0.870 0.739
F 0.870 0.370 0.739
F 0.000 0.000 0.000

Results
E_form (uncorrected)	-2.4048	eV/atom
uncorrected energy	-4.682	eV per atom

=====

No. 7
Material: Cs3SnF
Method: DFT, PBE
State: relaxed

Lattice parameters (Å, degrees): 6.058 6.058 6.058 90.00 90.00 90.00
Each line ends with the local moment (μB).
Element x y z (fractional)
Cs 0.000 0.500 0.000  0.03
Cs 0.000 0.000 0.500  0.03
Cs 0.500 0.000 0.000  0.04
Sn 0.500 0.500 0.500  0.59
F 0.000 0.000 0.000  0.00

Results
E_form (uncorrected)	-1.0478	eV/atom
uncorrected energy	-2.735	eV per atom
polymorph energy (0 for the lowest one)	0.000	eV/atom

=====

No. 8
Material: Cs2SnF6
Method: DFT, PBE
State: relaxed

Lattice parameters (Å, degrees): 6.428 6.428 5.169 90.00 90.00 120.00
Element x y z (fractional)
Cs 0.667 0.333 0.696
Cs 0.333 0.667 0.304
Sn 0.000 0.000 0.000
F 0.301 0.150 0.216
F 0.850 0.699 0.216
F 0.850 0.150 0.216
F 0.699 0.850 0.784
F 0.150 0.301 0.784
F 0.150 0.850 0.784

Results
E_form (uncorrected)	-2.7712	eV/atom
uncorrected energy	-4.653	eV per atom

=====

Q: What is the formula in the first record?
A: Cs2SmZn3F12